No. 1
Crystalline Y2Al4CuIr3 at its relaxed geometry, computed with PBE.

Properties
- Formation enthalpy at 0 K: -766 meV per atom
- Size of the total moment: 0.00 μB per cell
- Mass density: 8.539 g cm⁻³
- Volume: 180 Å³/cell

Geometry as CIF:
```
data_Y2Al4CuIr3
_chemical_formula_sum 'Y2 Al4 Cu1 Ir3'
_cell_length_a 4.116
_cell_length_b 4.116
_cell_length_c 10.629
_cell_angle_alpha 90.00
_cell_angle_beta 90.00
_cell_angle_gamma 90.00
_symmetry_space_group_name_H-M 'P -4 m 2'
_symmetry_Int_Tables_number 115
loop_
_symmetry_equiv_pos_as_xyz
'x,y,z'
'y,-x,-z'
'-x,-y,z'
'-y,x,-z'
'-x,y,z'
'-y,-x,-z'
'x,-y,z'
'y,x,-z'
loop_
_atom_site_label
_atom_site_fract_x
_atom_site_fract_y
_atom_site_fract_z
Y1 0.000 0.500 0.250
Al1 0.000 0.000 0.000
Al2 0.000 0.500 0.627
Al3 0.500 0.500 0.000
Cu1 0.000 0.000 0.500
Ir1 0.000 0.500 0.861
Ir2 0.500 0.500 0.500
```



No. 2
Crystalline AlZnCuIr at its relaxed geometry, computed with PBE.

Properties
- Formation enthalpy at 0 K: -393 meV per atom
- Size of the total moment: 0.00 μB per cell
- Mass density: 10.598 g cm⁻³
- Volume: 218 Å³/cell

Geometry as CIF:
```
data_AlZnCuIr
_chemical_formula_sum 'Al4 Zn4 Cu4 Ir4'
_cell_length_a 6.020
_cell_length_b 6.020
_cell_length_c 6.020
_cell_angle_alpha 90.00
_cell_angle_beta 90.00
_cell_angle_gamma 90.00
_symmetry_space_group_name_H-M 'F -4 3 m'
_symmetry_Int_Tables_number 216
_symmetry_space_group_name_Hall 'F -4 2 3'
loop_
_atom_site_label
_atom_site_fract_x
_atom_site_fract_y
_atom_site_fract_z
Al1 0.000 0.000 0.000
Zn1 0.000 0.000 0.500
Cu1 0.250 0.250 0.750
Ir1 0.250 0.250 0.250
```